## Tm6BiSb2As3 (GGA-PBE)

Data for a geometry-optimized Tm6BiSb2As3 structure.

Structure (POSCAR):
```
Tm6BiSb2As3
1.0
-3.027 -0.205 -2.884
-1.963 -7.823 2.616
-3.780 5.603 6.606
Tm Bi Sb As
6 1 2 3
Cartesian
-5.283 -3.642 5.804
-4.407 -2.942 1.796
-3.487 1.217 0.535
-7.282 3.277 4.371
-1.488 -5.702 1.967
-4.363 0.518 4.542
-1.513 -0.103 -1.442
-6.357 -1.652 3.751
-2.413 -0.772 2.587
-2.495 -4.014 -0.134
-5.374 2.257 2.442
-3.396 -4.681 3.897
```

Properties
space-group type: No. 12
spin magnetization: 0.00 μB/f.u.
DOS(E_F): 0.155 states/eV/atom
formation energy (no corrections): -1217 meV per atom
theoretical density: 8.853 g/cm³